Here is crystalline KAg2As at its relaxed geometry from Alexandria via LeMat-Bulk. Energies are from PBE.

Lattice parameters (Å, degrees): 3.121 5.621 10.762 90.00 90.00 90.00
Space group Imm2 (No. 44)
Symmetry-distinct sites (fractional):
K: 0.000 0.000 0.000 (multiplicity 2)
Ag: 0.000 0.000 0.473 (multiplicity 2)
Ag: 0.000 0.500 0.195 (multiplicity 2)
As: 0.000 0.500 0.775 (multiplicity 2)

Calculated values
calculated formation energy = 0.09 eV/atom